The following is a DFT calculation (PBE) of crystalline CrMo2Pb at its relaxed geometry.

Results
energy of formation from the pure elements	512	meV per atom
DOS at the Fermi energy	2.884	states/eV per cell
total magnetic moment	0.000	μB/cell
final energy	-8.24	eV/atom
calculated volume	17.2	Å³ per atom

The structure in POSCAR format:
```
CrMo2Pb
1.0
2.993 0.035 0.000
-0.255 2.982 0.000
0.000 0.000 7.715
Mo Cr Pb
2 1 1
Direct
0.000 0.000 0.554
0.000 0.000 0.946
0.500 0.500 0.750
0.500 0.500 0.250
```